A PBEsol-optimized structure of PmY3, computed with SCAN.

Lattice parameters (Å, degrees): 7.1686 7.1686 5.6293 90.00 90.00 120.00
Last column: nearest neighbours and their distance in Å.
Fractional positions:
Pm1 0.3333 0.6667 0.2500  12 Y 3.49-3.58
Pm2 0.6667 0.3333 0.7500  12 Y 3.49-3.58
Y1 0.1665 0.3331 0.7500  8 Y 3.49-3.59, 4 Pm 3.49-3.58
Y2 0.1665 0.8335 0.7500  8 Y 3.49-3.59, 4 Pm 3.49-3.58
Y3 0.3331 0.1665 0.2500  8 Y 3.49-3.59, 4 Pm 3.49-3.58
Y4 0.6669 0.8335 0.7500  8 Y 3.49-3.59, 4 Pm 3.49-3.58
Y5 0.8335 0.1665 0.2500  8 Y 3.49-3.59, 4 Pm 3.49-3.58
Y6 0.8335 0.6669 0.2500  8 Y 3.49-3.59, 4 Pm 3.49-3.58

Summary:
D(E_F) ... 13.067 states/eV/cell
Polymorph energy (0 for the lowest one) ... 0 meV/atom
Total magnetization ... 2.73 Bohr magnetons per cell
DFT formation energy ... 0.01 eV/atom
Uncorrected energy ... -31.87 eV per atom

A PBEsol-optimized structure of YIr2Au2, computed with SCAN.

Lattice parameters (Å, degrees): 6.6724 6.6724 6.6724 145.47 145.47 49.63
Last column: nearest neighbours and their distance in Å.
Fractional positions:
Y1 0.0000 0.0000 0.0000  8 Ir 3.03
Ir1 0.4036 0.4036 0.0000  1 Ir 2.34
Ir2 0.5964 0.5964 0.0000  1 Ir 2.34
Au1 0.2500 0.7500 0.5000  4 Ir 2.72, 4 Au 2.80
Au2 0.7500 0.2500 0.5000  4 Ir 2.72, 4 Au 2.80

Summary:
D(E_F) ... 2.712 states/eV/cell
Total magnetization ... 0.00 Bohr magnetons per cell
DFT formation energy ... -0.30 eV/atom
Uncorrected energy ... -61.97 eV per atom

A PBEsol-optimized structure of BRuN3, computed with SCAN.

Lattice parameters (Å, degrees): 3.3411 3.3411 3.3411 90.00 90.00 90.00
Last column: nearest neighbours and their distance in Å.
Fractional positions:
B1 0.0000 0.0000 0.0000  6 N 1.67
Ru1 0.5000 0.5000 0.5000  12 N 2.36
N1 0.0000 0.0000 0.5000  2 B 1.67
N2 0.0000 0.5000 0.0000  2 B 1.67
N3 0.5000 0.0000 0.0000  2 B 1.67

Summary:
D(E_F) ... 3.915 states/eV/cell
Total magnetization ... 0.00 Bohr magnetons per cell
Uncorrected formation energy ... 7.3 eV per formula unit
Uncorrected energy ... -12.56 eV per atom

- Look up the D(E_F) of the first one.
  13.067 states/eV/cell

- Number 3 is which compound?
  BRuN3